Computed, not measured: a relaxed Hf3TiC4 crystal at the PBE-GGA level of DFT.

ΔH_f (0 K) ... -0.87 eV/atom
D(E_F) ... 0.182 states/eV/atom
Calculated volume ... 96 Å³ per cell

a = 5.608 Å, b = 5.608 Å, c = 3.241 Å
α = 90.00°, β = 90.00°, γ = 109.47°
Fractional positions:
Hf 0.000 0.000 0.000
Hf 0.000 0.500 0.500
Hf 0.500 0.000 0.500
Ti 0.500 0.500 0.000
C 0.254 0.746 0.000
C 0.257 0.257 0.500
C 0.743 0.743 0.500
C 0.746 0.254 0.000

---

Computed, not measured: a relaxed PaVTc crystal at the PBE-GGA level of DFT.

Offset from the most stable computed form ... 50 meV/atom
ΔH_f (0 K) ... 0.18 eV/atom
D(E_F) ... 1.747 states/eV/atom
Calculated volume ... 57 Å³ per cell

a = 4.143 Å, b = 4.143 Å, c = 3.848 Å
α = 90.00°, β = 90.00°, γ = 120.00°
Fractional positions:
Pa 0.000 0.000 0.000
V 0.333 0.667 0.561
Tc 0.667 0.333 0.397

---

Computed, not measured: a relaxed Pm3Al7Zn4 crystal at the PBE-GGA level of DFT.

ΔH_f (0 K) ... -0.41 eV/atom
D(E_F) ... 0.450 states/eV/atom
Calculated volume ... 273 Å³ per cell

a = 8.329 Å, b = 8.329 Å, c = 9.961 Å
α = 126.08°, β = 126.08°, γ = 29.87°
Fractional positions:
Pm 0.000 0.000 0.000
Pm 0.316 0.316 0.312
Pm 0.684 0.684 0.688
Al 0.000 0.000 0.500
Al 0.153 0.153 0.420
Al 0.332 0.332 0.971
Al 0.495 0.495 0.711
Al 0.505 0.505 0.289
Al 0.668 0.668 0.029
Al 0.847 0.847 0.580
Zn 0.133 0.133 0.858
Zn 0.340 0.340 0.722
Zn 0.660 0.660 0.278
Zn 0.867 0.867 0.142

---

Computed, not measured: a relaxed TiVH2Br crystal at the PBE-GGA level of DFT.

D(E_F) ... 0.601 states/eV/atom
Calculated volume ... 70 Å³ per cell
Calculated total energy ... -4.761 eV per atom

a = 3.651 Å, b = 3.651 Å, c = 5.261 Å
α = 90.00°, β = 90.00°, γ = 90.00°
Fractional positions:
Ti 0.000 0.000 0.000
V 0.000 0.000 0.500
H 0.000 0.500 0.500
H 0.500 0.000 0.500
Br 0.500 0.500 0.000

---

Computed, not measured: a relaxed La5Mg4Tl4 crystal at the PBE-GGA level of DFT.

ΔH_f (0 K) ... -0.29 eV/atom
D(E_F) ... 1.074 states/eV/atom
Calculated volume ... 389 Å³ per cell

a = 9.369 Å, b = 9.369 Å, c = 9.369 Å
α = 93.66°, β = 93.66°, γ = 150.74°
Fractional positions:
La 0.000 0.000 0.000
La 0.295 0.632 0.927
La 0.368 0.295 0.664
La 0.632 0.705 0.336
La 0.705 0.368 0.073
Mg 0.102 0.422 0.524
Mg 0.422 0.898 0.320
Mg 0.578 0.102 0.680
Mg 0.898 0.578 0.476
Tl 0.057 0.746 0.803
Tl 0.254 0.057 0.311
Tl 0.746 0.943 0.689
Tl 0.943 0.254 0.197

---

Computed, not measured: a relaxed Ce5GaPb3 crystal at the PBE-GGA level of DFT.

ΔH_f (0 K) ... -0.44 eV/atom
D(E_F) ... 2.781 states/eV/atom
Calculated volume ... 522 Å³ per cell

a = 9.625 Å, b = 9.625 Å, c = 6.509 Å
α = 90.00°, β = 90.00°, γ = 120.00°
Fractional positions:
Ce 0.000 0.266 0.250
Ce 0.000 0.734 0.750
Ce 0.266 0.000 0.250
Ce 0.266 0.266 0.750
Ce 0.333 0.667 0.000
Ce 0.333 0.667 0.500
Ce 0.667 0.333 0.000
Ce 0.667 0.333 0.500
Ce 0.734 0.000 0.750
Ce 0.734 0.734 0.250
Ga 0.000 0.000 0.000
Ga 0.000 0.000 0.500
Pb 0.000 0.379 0.750
Pb 0.000 0.621 0.250
Pb 0.379 0.000 0.750
Pb 0.379 0.379 0.250
Pb 0.621 0.000 0.250
Pb 0.621 0.621 0.750

---

Computed, not measured: a relaxed PrTm2Cd8 crystal at the PBE-GGA level of DFT.

ΔH_f (0 K) ... -0.25 eV/atom
D(E_F) ... 0.573 states/eV/atom
Calculated volume ... 269 Å³ per cell

a = 8.946 Å, b = 8.946 Å, c = 5.337 Å
α = 106.73°, β = 106.73°, γ = 125.78°
Fractional positions:
Pr 0.000 0.000 0.000
Tm 0.311 0.689 0.500
Tm 0.689 0.311 0.500
Cd 0.101 0.366 0.743
Cd 0.203 0.797 0.000
Cd 0.366 0.101 0.743
Cd 0.489 0.489 0.738
Cd 0.511 0.511 0.262
Cd 0.634 0.899 0.257
Cd 0.797 0.203 0.000
Cd 0.899 0.634 0.257

---

Computed, not measured: a relaxed Ba3Bi3Pb2 crystal at the PBE-GGA level of DFT.

Offset from the most stable computed form ... 40 meV/atom
ΔH_f (0 K) ... -0.56 eV/atom
D(E_F) ... 0.519 states/eV/atom
Calculated volume ... 621 Å³ per cell

a = 7.065 Å, b = 7.065 Å, c = 17.367 Å
α = 90.00°, β = 90.00°, γ = 134.29°
Fractional positions:
Ba 0.031 0.969 0.750
Ba 0.147 0.853 0.035
Ba 0.147 0.853 0.465
Ba 0.853 0.147 0.535
Ba 0.853 0.147 0.965
Ba 0.969 0.031 0.250
Bi 0.263 0.737 0.250
Bi 0.441 0.559 0.083
Bi 0.441 0.559 0.417
Bi 0.559 0.441 0.583
Bi 0.559 0.441 0.917
Bi 0.737 0.263 0.750
Pb 0.324 0.676 0.662
Pb 0.324 0.676 0.838
Pb 0.676 0.324 0.162
Pb 0.676 0.324 0.338

---

> Among the records above, which one has the highest D(E_F)?

Ce5GaPb3

---

> Which formula does entry 4 have?

TiVH2Br

---

> Among the records above, which one has the lowest calculated volume?

PaVTc